No. 1
AlRe2 | PBE-GGA | optimized geometry

```
data_AlRe2
_cell_length_a 4.372
_cell_length_b 4.372
_cell_length_c 2.641
_cell_angle_alpha 90.00
_cell_angle_beta 90.00
_cell_angle_gamma 90.00
_space_group_name_H-M_alt 'P 1'
_space_group_IT_number 1
loop_
_space_group_symop_operation_xyz
'x,y,z'
loop_
_atom_site_label
_atom_site_type_symbol
_atom_site_fract_x
_atom_site_fract_y
_atom_site_fract_z
_atom_site_occupancy
Al1 Al 0.000 0.000 0.000 1
Re1 Re 0.000 0.500 0.500 1
Re2 Re 0.500 0.000 0.500 1
```

Results
The space-group type is P4/mmm (123). Its crystal system is tetragonal. The calculation puts the energy of formation at 1016 meV per atom.


No. 2
TaNiPt2 | PBE-GGA | optimized geometry

```
data_TaNiPt2
_cell_length_a 4.762
_cell_length_b 4.762
_cell_length_c 4.757
_cell_angle_alpha 100.66
_cell_angle_beta 100.66
_cell_angle_gamma 34.65
_space_group_name_H-M_alt 'P 1'
_space_group_IT_number 1
loop_
_space_group_symop_operation_xyz
'x,y,z'
loop_
_atom_site_label
_atom_site_type_symbol
_atom_site_fract_x
_atom_site_fract_y
_atom_site_fract_z
_atom_site_occupancy
Ta1 Ta 0.000 0.000 0.000 1
Ni1 Ni 0.500 0.500 0.500 1
Pt1 Pt 0.245 0.245 0.743 1
Pt2 Pt 0.755 0.755 0.257 1
```

Results
The space-group type is C2/m (12). Its crystal system is monoclinic. The calculation puts the energy of formation at -391 meV per atom.